PBE AlV, optimized geometry; symmetry = No. 65; D(E_F) = 1.00 states/eV/f.u.; energy of formation from the pure elements = -0.264 eV per atom
1.0
-5.1928 -0.8332 -1.2390
6.3961 -2.3090 -4.5026
0.5703 1.6115 4.5149
Al V
1 1
direct
0.1872 0.5086 0.6075
0.6871 0.5085 0.6075